1.
Compound: Ac12NdY2
Source: the Alexandria database
Functional: PBE-GGA
Structure: optimized geometry

Cell and atoms, written as CIF:
```
data_Ac12NdY2
_space_group_name_H-M_alt 'P 4/n b m'
_space_group_IT_number 125
_cell_length_a 7.274
_cell_length_b 7.274
_cell_length_c 26.900
_cell_angle_alpha 90.00
_cell_angle_beta 90.00
_cell_angle_gamma 90.00
loop_
_space_group_symop_operation_xyz
'x,y,z'
'-x,-y,-z'
'-y+1/2,x,z'
'y+1/2,-x,-z'
'-x+1/2,-y+1/2,z'
'x+1/2,y+1/2,-z'
'y,-x+1/2,z'
'-y,x+1/2,-z'
'x,-y+1/2,-z'
'-x,y+1/2,z'
'-y+1/2,-x+1/2,-z'
'y+1/2,x+1/2,z'
'-x+1/2,y,-z'
'x+1/2,-y,z'
'y,x,-z'
'-y,-x,z'
loop_
_atom_site_label
_atom_site_type_symbol
_atom_site_fract_x
_atom_site_fract_y
_atom_site_fract_z
Ac1 Ac 0.001 0.501 0.101
Ac2 Ac 0.079 0.579 0.438
Ac3 Ac 0.250 0.250 0.198
Ac4 Ac 0.250 0.250 0.328
Nd1 Nd 0.250 0.750 0.000
Y1 Y 0.250 0.750 0.222
```

Magnetization in μB/atom: 0.00
VASP energy in eV/cell: -121.32

=====

2.
Compound: V3CrTc3
Source: the Alexandria database
Functional: PBE-GGA
Structure: optimized geometry

Cell and atoms, written as CIF:
```
data_V3CrTc3
_space_group_name_H-M_alt 'C m m m'
_space_group_IT_number 65
_space_group_name_Hall '-C 2 2'
_cell_length_a 8.268
_cell_length_b 8.447
_cell_length_c 5.872
_cell_angle_alpha 90.00
_cell_angle_beta 90.00
_cell_angle_gamma 90.00
loop_
_atom_site_label
_atom_site_type_symbol
_atom_site_fract_x
_atom_site_fract_y
_atom_site_fract_z
V1 V 0.000 0.225 0.000
V2 V 0.193 0.000 0.500
V3 V 0.242 0.500 0.000
Cr1 Cr 0.000 0.261 0.500
Tc1 Tc 0.000 0.500 0.255
Tc2 Tc 0.250 0.250 0.251
```

Magnetization in μB/atom: 0.00
VASP energy in eV/cell: -270.08

=====

3.
Compound: SrMg3Ge
Source: the Alexandria database
Functional: PBE-GGA
Structure: optimized geometry

Cell and atoms, written as CIF:
```
data_SrMg3Ge
_space_group_name_H-M_alt 'P m -3 m'
_space_group_IT_number 221
_space_group_name_Hall '-P 4 2 3'
_cell_length_a 6.066
_cell_length_b 6.066
_cell_length_c 6.066
_cell_angle_alpha 90.00
_cell_angle_beta 90.00
_cell_angle_gamma 90.00
loop_
_atom_site_label
_atom_site_type_symbol
_atom_site_fract_x
_atom_site_fract_y
_atom_site_fract_z
Sr1 Sr 0.000 0.000 0.000
Mg1 Mg 0.000 0.000 0.500
Ge1 Ge 0.500 0.500 0.500
```

Excess energy over the best structure of this formula in the dataset in eV/atom: 1.233
Magnetization in μB/atom: 0.00
VASP energy in eV/cell: -4.36

=====

4.
Compound: RbHg3F6
Source: the Alexandria database
Functional: PBE-GGA
Structure: optimized geometry

Cell and atoms, written as CIF:
```
data_RbHg3F6
_space_group_name_H-M_alt 'P 1'
_space_group_IT_number 1
_cell_length_a 6.350
_cell_length_b 6.356
_cell_length_c 6.568
_cell_angle_alpha 90.02
_cell_angle_beta 118.91
_cell_angle_gamma 119.96
loop_
_space_group_symop_operation_xyz
'x,y,z'
loop_
_atom_site_label
_atom_site_type_symbol
_atom_site_fract_x
_atom_site_fract_y
_atom_site_fract_z
Rb1 Rb 0.000 0.000 0.000
Hg1 Hg 0.049 0.524 0.573
Hg2 Hg 0.461 0.230 0.692
Hg3 Hg 0.481 0.740 0.220
F1 F 0.310 0.839 0.433
F2 F 0.352 0.940 0.905
F3 F 0.495 0.553 0.907
F4 F 0.591 0.467 0.432
F5 F 0.964 0.124 0.431
F6 F 0.966 0.412 0.905
```

Magnetization in μB/atom: 0.00
E_form (uncorrected) in eV per atom: -1.596
VASP energy in eV/cell: -29.07